# MgUP2N6

A relaxed MgUP2N6 crystal (PBE-GGA, the Alexandria database).

Structure (POSCAR):
```
MgUP2N6
1.0
5.447 0.065 0.068
1.828 6.735 0.317
1.828 0.067 6.742
Mg U P N
2 2 4 12
Direct
0.250 0.299 0.701 Mg
0.750 0.701 0.299 Mg
0.250 0.883 0.117 U
0.750 0.117 0.883 U
0.304 0.781 0.630 P
0.196 0.370 0.219 P
0.696 0.219 0.370 P
0.804 0.630 0.781 P
0.170 0.963 0.790 N
0.330 0.210 0.037 N
0.830 0.037 0.210 N
0.670 0.790 0.963 N
0.326 0.851 0.393 N
0.174 0.607 0.149 N
0.674 0.149 0.607 N
0.826 0.393 0.851 N
0.119 0.620 0.690 N
0.381 0.310 0.380 N
0.881 0.380 0.310 N
0.619 0.690 0.620 N
```

Properties
Formation energy (no corrections) in eV per atom: -0.696
V in Å³/f.u.: 122.82
SG: C2/c, No. 15
Total magnetic moment in μB per atom: 0.00